## LaYMg3 (PBE)

Data for a geometry-optimized LaYMg3 structure.

abc: 5.577 5.577 5.577
angles: 90.00 90.00 90.00
Atoms (fractional coordinates):
1 Mg 0.000 0.000 0.500
2 Y 0.000 0.000 0.000
3 La 0.500 0.500 0.500
4 Mg 0.500 0.000 0.000
5 Mg 0.000 0.500 0.000

DOS(E_F) = 1.5194 states/eV per atom
Formation energy = 670 meV/atom